(1)
# Ag12H5Br3

Crystalline Ag12H5Br3 at its relaxed geometry (PBE, Alexandria via LeMat-Bulk).

Cell and atoms, written as extended XYZ:
```
80
Lattice="-1.595 -12.050 -0.824 7.604 2.471 9.192 -10.734 5.387 2.049" Properties=species:S:1:pos:R:3 pbc="T T T"
Br 0.314 -7.438 3.085
Br 2.966 -8.018 6.430
Br -1.604 0.701 7.866
Br -3.473 -0.684 1.712
Br -3.129 -8.889 0.940
Br 1.471 -1.628 5.949
Br -6.196 -2.565 4.469
Br -1.596 4.696 9.477
Br -1.251 -3.509 8.706
Br -3.121 -4.894 2.552
Br -7.691 3.825 3.988
Br -5.038 3.245 7.332
H -0.031 0.767 3.857
H 3.802 1.235 4.596
H 0.000 0.000 0.000
H -0.039 -3.228 2.245
H -6.165 -3.332 0.613
H 3.005 -4.790 4.184
H 1.479 2.367 7.560
H -9.638 -4.016 2.324
H -0.469 -5.474 5.896
H -7.698 -0.170 2.377
H 2.973 -4.023 8.041
H -2.362 -2.096 5.209
H -0.798 -6.025 -0.412
H -5.367 2.693 1.025
H -4.256 1.281 4.522
H 4.913 -0.177 8.094
H -1.565 3.929 5.621
H -6.203 -6.560 2.858
H -4.686 -0.965 8.173
H -4.693 -4.960 6.561
Ag -11.056 -2.722 2.193
Ag -1.141 -0.264 5.042
Ag -0.236 2.569 4.498
Ag -0.244 -4.965 1.444
Ag -3.256 -1.818 7.209
Ag 2.380 2.356 5.861
Ag 1.467 0.514 8.078
Ag 5.813 1.506 8.335
Ag -8.324 -3.375 1.075
Ag 1.374 -5.675 5.382
Ag -1.896 -6.315 4.919
Ag -4.973 -2.127 9.679
Ag -0.145 3.336 7.205
Ag 1.310 -3.506 3.589
Ag 2.213 3.261 9.097
Ag -6.410 -1.386 1.628
Ag -0.624 0.235 2.105
Ag 3.465 -3.968 6.182
Ag 2.139 -5.745 8.238
Ag 1.876 0.527 3.781
Ag -9.330 -0.621 1.464
Ag -0.803 -3.594 5.657
Ag -0.550 -6.311 7.626
Ag -8.635 -4.267 3.947
Ag -3.922 -0.599 4.761
Ag -4.175 2.118 2.792
Ag 3.911 0.074 6.471
Ag -6.863 1.552 2.180
Ag 4.606 -3.572 8.954
Ag -6.601 -4.720 6.637
Ag -8.190 -0.225 4.236
Ag 1.685 -2.807 8.790
Ag -4.101 -4.428 8.313
Ag -6.937 -7.454 1.321
Ag -4.580 -7.529 3.213
Ag 0.248 -2.066 0.739
Ag -6.034 -0.687 6.829
Ag 3.599 -0.818 9.343
Ag -6.099 1.482 5.036
Ag -2.828 2.122 5.499
Ag -10.537 -5.699 2.083
Ag -6.192 -4.707 2.340
Ag -4.480 0.772 8.974
Ag -7.105 -6.549 4.557
Ag -1.469 -2.375 3.209
Ag -4.489 -6.762 5.920
Ag -3.583 -3.929 5.376
Ag 6.331 -1.471 8.225
```

Computed properties:
E_tot	-209.19	eV for the cell shown
crystal system	cubic
V	348.0	Å³/f.u.
magnetic moment	0.000	μB per atom
N(E_F)	0.34	states/eV per atom


(2)
# PrUNi17

Crystalline PrUNi17 at its relaxed geometry (PBE, Alexandria via LeMat-Bulk).

Cell and atoms, written as extended XYZ:
```
19
Lattice="-4.397 -4.160 -1.592 2.215 -1.306 -5.707 3.203 -5.139 1.582" Properties=species:S:1:pos:R:3 pbc="T T T"
Pr 0.674 -7.007 -3.776
U 0.340 -3.537 -1.906
Ni 0.965 -4.839 0.620
Ni -2.424 -3.327 -2.790
Ni 2.480 -2.446 -3.549
Ni 0.275 -2.162 -4.470
Ni 2.883 -4.011 -0.574
Ni -2.137 -4.439 -0.676
Ni 1.474 -4.310 -4.860
Ni 1.976 -6.254 -1.163
Ni -1.879 -5.757 -2.773
Ni -0.422 -6.248 -0.916
Ni -0.907 -4.370 -4.488
Ni 2.818 -4.850 -2.933
Ni -0.083 -9.945 -2.868
Ni -0.576 -8.036 -6.499
Ni 3.210 -8.524 -4.918
Ni 0.923 -9.596 -5.171
Ni 0.106 -1.100 -0.593
```

Computed properties:
E_tot	-116.98	eV for the cell shown
crystal system	trigonal
E_form	-138	meV/atom
V	240.1	Å³/f.u.
magnetic moment	0.235	μB per atom
N(E_F)	1.36	states/eV per atom


(3)
# ZrZn2BiPt

Crystalline ZrZn2BiPt at its relaxed geometry (PBE, Alexandria via LeMat-Bulk).

Cell and atoms, written as extended XYZ:
```
5
Lattice="5.047 0.000 0.000 0.000 5.100 0.000 0.000 0.000 5.047" Properties=species:S:1:pos:R:3 pbc="T T T"
Zr 2.524 2.550 2.524
Zn 0.000 0.000 2.524
Zn 2.524 0.000 0.000
Bi 0.000 0.000 0.000
Pt 0.000 2.550 0.000
```

Computed properties:
E_tot	-16.20	eV for the cell shown
crystal system	tetragonal
E_form	964	meV/atom
V	129.9	Å³/f.u.
magnetic moment	0.000	μB per atom
N(E_F)	0.78	states/eV per atom


(4)
# CeHfNiIr

Crystalline CeHfNiIr at its relaxed geometry (PBE, Alexandria via LeMat-Bulk).

Cell and atoms, written as extended XYZ:
```
4
Lattice="-0.544 2.706 3.853 -3.787 -0.583 2.790 0.505 -1.893 4.316" Properties=species:S:1:pos:R:3 pbc="T T T"
Ni 0.000 0.000 0.000
Ir -1.913 0.115 5.480
Hf -0.957 0.058 2.740
Ce -2.870 0.173 8.220
```

Computed properties:
E_tot	-32.37	eV for the cell shown
crystal system	cubic
E_form	-461	meV/atom
V	75.3	Å³/f.u.
magnetic moment	0.004	μB per atom
N(E_F)	1.57	states/eV per atom


(5)
# TlFe2Ag2

Crystalline TlFe2Ag2 at its relaxed geometry (PBE, Alexandria via LeMat-Bulk).

Cell and atoms, written as extended XYZ:
```
5
Lattice="3.407 0.000 0.000 0.000 3.407 0.000 1.703 1.703 8.065" Properties=species:S:1:pos:R:3 pbc="T T T"
Tl 0.000 0.000 0.000
Fe 3.407 1.703 4.032
Fe 1.703 3.407 4.032
Ag 1.703 1.703 1.883
Ag 3.407 3.407 6.182
```

Computed properties:
E_tot	-22.57	eV for the cell shown
crystal system	tetragonal
E_form	485	meV/atom
energy above the most stable polymorph in this dataset	0.0	meV per atom
V	93.6	Å³/f.u.
magnetic moment	1.090	μB per atom
N(E_F)	0.76	states/eV per atom


(6)
# AlTlPbCl6

Crystalline AlTlPbCl6 at its relaxed geometry (PBE, Alexandria via LeMat-Bulk).

Cell and atoms, written as extended XYZ:
```
9
Lattice="-4.511 1.216 5.242 -2.463 -5.349 3.824 5.158 0.685 4.280" Properties=species:S:1:pos:R:3 pbc="T T T"
Al 0.254 -1.035 5.162
Tl 0.647 1.901 9.522
Pb -2.070 -2.413 8.184
Cl 0.416 -1.544 2.863
Cl 1.966 0.584 5.025
Cl 0.090 -0.600 7.476
Cl 1.895 -2.666 5.630
Cl -1.498 -2.606 5.340
Cl -1.344 0.621 4.637
```

Computed properties:
E_tot	-32.41	eV for the cell shown
crystal system	trigonal
V	287.7	Å³/f.u.
magnetic moment	0.000	μB per atom
raw formation energy	-1279.5	meV per atom
N(E_F)	0.00	states/eV per atom